[1]
TaFe2HOs | PBE-GGA | optimized geometry

Cell and atoms, written as POSCAR:
```
TaFe2HOs
1.0
3.792 0.000 0.000
0.000 3.792 0.000
0.000 0.000 3.843
Ta Fe H Os
1 2 1 1
Direct
0.000 0.000 0.000 Ta
0.000 0.500 0.500 Fe
0.500 0.000 0.500 Fe
0.500 0.500 0.500 H
0.500 0.500 0.000 Os
```

Properties
As for the space-group type: No. 123. As for the excess energy over the best structure of this formula in the dataset: 0 meV per atom.

---

[2]
Ta2FeHOs | PBE-GGA | optimized geometry

Cell and atoms, written as POSCAR:
```
Ta2FeHOs
1.0
4.216 0.000 0.000
0.000 4.216 0.000
0.000 0.000 3.650
Ta Fe H Os
2 1 1 1
Direct
0.000 0.500 0.000 Ta
0.500 0.000 0.000 Ta
0.000 0.000 0.500 Fe
0.500 0.500 0.000 H
0.500 0.500 0.500 Os
```

Properties
As for the space-group type: No. 123. As for the excess energy over the best structure of this formula in the dataset: 126 meV per atom.

---

[3]
TaFeH2Os | PBE-GGA | optimized geometry

Cell and atoms, written as POSCAR:
```
TaFeH2Os
1.0
3.556 0.000 0.000
0.000 3.556 0.000
0.000 0.000 5.106
Ta Fe H Os
1 1 2 1
Direct
0.000 0.000 0.000 Ta
0.500 0.500 0.500 Fe
0.000 0.500 0.000 H
0.500 0.000 0.000 H
0.000 0.000 0.500 Os
```

Properties
The calculation puts the total energy at -34.48 eV per cell. As for the space-group type: No. 123.

---

[4]
FeTc2HOs | PBE-GGA | optimized geometry

Cell and atoms, written as POSCAR:
```
FeTc2HOs
1.0
3.866 0.000 0.000
0.000 3.866 0.000
0.000 0.000 3.751
Fe Tc H Os
1 2 1 1
Direct
0.000 0.000 0.000 Fe
0.000 0.500 0.500 Tc
0.500 0.000 0.500 Tc
0.000 0.000 0.500 H
0.500 0.500 0.000 Os
```

Properties
The calculation puts the total energy at -43.32 eV per cell. As for the space-group type: No. 123.

---

| no. | N(E_F) (states/eV per atom) |
| --- | --- |
| 1 | 0.976 |
| 2 | 0.706 |
| 3 | 0.779 |
| 4 | 0.941 |